Na4NiP2O7F2 | PBE+U | optimized geometry

Unit cell a=7.134 b=15.158 c=7.857 alpha=90.00 beta=90.00 gamma=90.00
Space group Imma (No. 74)
One atom of each set of equivalent atoms:
Na 0.000 0.139 0.049 (multiplicity 8)
Na 0.250 0.016 0.750 (multiplicity 8)
Ni 0.250 0.250 0.750 (multiplicity 4)
P 0.000 0.153 0.470 (multiplicity 8)
O 0.000 0.086 0.327 (multiplicity 8)
O 0.000 0.250 0.372 (multiplicity 4)
O 0.180 0.150 0.579 (multiplicity 16)
F 0.000 0.000 0.000 (multiplicity 4)
F 0.000 0.250 0.867 (multiplicity 4)

Total energy in eV per atom: -5.826
DOS at the Fermi energy in states/eV/cell: 0.0
Volume in Å³ per atom: 13.3
Total moment in μB/f.u.: 2.00